First-principles (PBE) data for crystalline MnBeIn2 at its relaxed geometry, as listed in the Alexandria database.

As for the space group: I-42d, No. 122. The formation enthalpy at 0 K is 516 meV/atom. The volume comes out at 166.1 Å³/cell.

a = 8.398 Å, b = 8.398 Å, c = 6.388 Å
α = 48.90°, β = 48.90°, γ = 90.00°
Each line ends with the local moment (μB).
Fractional positions:
Be 0.500 0.500 0.000  -0.08
Be 0.250 0.750 0.500  -0.08
Mn 0.000 0.000 0.000  3.75
Mn 0.750 0.250 0.500  3.75
In 0.515 0.125 0.250  -0.07
In 0.235 0.625 0.250  -0.07
In 0.375 0.485 0.750  -0.07
In 0.875 0.765 0.750  -0.07